# Ac8Te4PdRh3, relaxed, DFT GGA-PBE
data_Ac8Te4PdRh3
_chemical_formula_sum 'Ac24 Te12 Pd3 Rh9'
_cell_length_a 8.8671
_cell_length_b 8.8671
_cell_length_c 24.0037
_cell_angle_alpha 90.00
_cell_angle_beta 90.00
_cell_angle_gamma 120.00
_symmetry_space_group_name_H-M 'R -3 m'
_symmetry_Int_Tables_number 166
_symmetry_space_group_name_Hall '-R 3 2"'
loop_
_atom_site_label
_atom_site_type_symbol
_atom_site_fract_x
_atom_site_fract_y
_atom_site_fract_z
Ac1 Ac 0.0000 0.0000 0.2370
Ac2 Ac 0.0072 0.5036 0.7627
Te1 Te 0.0000 0.0000 0.0000
Te2 Te 0.0000 0.5000 0.0000
Pd1 Pd 0.0000 0.0000 0.5000
Rh1 Rh 0.0000 0.5000 0.5000
# Spin magnetization (μB per cell): 0.0
# Crystal system: trigonal
# ΔE_f (raw) (eV per atom): -1.106
# Calculated density (g cm⁻³): 8.356

# Ac4Te2PdRh, relaxed, DFT GGA-PBE
data_Ac4Te2PdRh
_chemical_formula_sum 'Ac4 Te2 Pd1 Rh1'
_cell_length_a 7.684
_cell_length_b 4.446
_cell_length_c 8.448
_cell_angle_alpha 90.00
_cell_angle_beta 107.70
_cell_angle_gamma 90.00
_symmetry_space_group_name_H-M 'P 1 2/m 1'
_symmetry_Int_Tables_number 10
_symmetry_space_group_name_Hall '-P 2y'
loop_
_atom_site_label
_atom_site_type_symbol
_atom_site_fract_x
_atom_site_fract_y
_atom_site_fract_z
Ac1 Ac 0.231 0.000 0.212
Ac2 Ac 0.255 0.500 0.786
Te1 Te 0.000 0.000 0.500
Te2 Te 0.500 0.500 0.500
Pd1 Pd 0.500 0.000 0.000
Rh1 Rh 0.000 0.500 0.000
# Spin magnetization (μB per cell): 0.0
# Crystal system: monoclinic
# ΔE_f (raw) (eV per atom): -1.117
# Calculated density (g cm⁻³): 8.289

# Ac6Te3PdRh2, relaxed, DFT GGA-PBE
data_Ac6Te3PdRh2
_chemical_formula_sum 'Ac12 Te6 Pd2 Rh4'
_cell_length_a 7.686
_cell_length_b 13.307
_cell_length_c 8.418
_cell_angle_alpha 90.00
_cell_angle_beta 107.70
_cell_angle_gamma 90.00
_symmetry_space_group_name_H-M 'C 1 2/m 1'
_symmetry_Int_Tables_number 12
_symmetry_space_group_name_Hall '-C 2y'
loop_
_atom_site_label
_atom_site_type_symbol
_atom_site_fract_x
_atom_site_fract_y
_atom_site_fract_z
Ac1 Ac 0.227 0.000 0.211
Ac2 Ac 0.242 0.328 0.213
Te1 Te 0.000 0.000 0.500
Te2 Te 0.000 0.336 0.500
Pd1 Pd 0.000 0.500 0.000
Rh1 Rh 0.000 0.167 0.000
# Spin magnetization (μB per cell): 0.0
# Crystal system: monoclinic
# ΔE_f (raw) (eV per atom): -1.115
# Calculated density (g cm⁻³): 8.329

# AcTePdRh, relaxed, DFT GGA-PBE
data_AcTePdRh
_chemical_formula_sum 'Ac4 Te4 Pd4 Rh4'
_cell_length_a 7.129
_cell_length_b 7.129
_cell_length_c 7.129
_cell_angle_alpha 90.00
_cell_angle_beta 90.00
_cell_angle_gamma 90.00
_symmetry_space_group_name_H-M 'F -4 3 m'
_symmetry_Int_Tables_number 216
_symmetry_space_group_name_Hall 'F -4 2 3'
loop_
_atom_site_label
_atom_site_type_symbol
_atom_site_fract_x
_atom_site_fract_y
_atom_site_fract_z
Ac1 Ac 0.000 0.000 0.000
Te1 Te 0.000 0.000 0.500
Pd1 Pd 0.250 0.250 0.750
Rh1 Rh 0.250 0.250 0.250
# Spin magnetization (μB per cell): 0.0
# Crystal system: cubic
# ΔE_f (raw) (eV per atom): -0.557
# Calculated density (g cm⁻³): 10.338

# AcThPdRh, relaxed, DFT GGA-PBE
data_AcThPdRh
_chemical_formula_sum 'Ac4 Th4 Pd4 Rh4'
_cell_length_a 7.346
_cell_length_b 7.346
_cell_length_c 7.346
_cell_angle_alpha 90.00
_cell_angle_beta 90.00
_cell_angle_gamma 90.00
_symmetry_space_group_name_H-M 'F -4 3 m'
_symmetry_Int_Tables_number 216
_symmetry_space_group_name_Hall 'F -4 2 3'
loop_
_atom_site_label
_atom_site_type_symbol
_atom_site_fract_x
_atom_site_fract_y
_atom_site_fract_z
Ac1 Ac 0.000 0.000 0.000
Th1 Th 0.000 0.000 0.500
Pd1 Pd 0.250 0.250 0.750
Rh1 Rh 0.250 0.250 0.250
# E_form (meV/atom): -597.6
# Spin magnetization (μB per cell): 0.0
# Crystal system: cubic
# Calculated density (g cm⁻³): 11.198

# AcTmPdRh, relaxed, DFT GGA-PBE
data_AcTmPdRh
_chemical_formula_sum 'Ac4 Tm4 Pd4 Rh4'
_cell_length_a 7.202
_cell_length_b 7.202
_cell_length_c 7.202
_cell_angle_alpha 90.00
_cell_angle_beta 90.00
_cell_angle_gamma 90.00
_symmetry_space_group_name_H-M 'F -4 3 m'
_symmetry_Int_Tables_number 216
_symmetry_space_group_name_Hall 'F -4 2 3'
loop_
_atom_site_label
_atom_site_type_symbol
_atom_site_fract_x
_atom_site_fract_y
_atom_site_fract_z
Ac1 Ac 0.000 0.000 0.000
Tm1 Tm 0.000 0.000 0.500
Pd1 Pd 0.250 0.250 0.250
Rh1 Rh 0.250 0.250 0.750
# E_form (meV/atom): -697.5
# Spin magnetization (μB per cell): 0.0
# Crystal system: cubic
# Calculated density (g cm⁻³): 10.761